[1]
Computed, not measured: an optimized crystal structure of MnNb2In2Se6 at the PBE-GGA level of DFT.

a b c (Å): 6.4323 6.4323 7.9204
angles (deg): 96.70 96.70 120.15
Closest atoms and distances in Å follow each position.
Fractional positions:
Mn 0.0000 0.0000 0.0000  6 Se 2.63-2.69
Nb 0.3624 0.6376 0.0000  6 Se 2.57-2.77
Nb 0.6376 0.3624 0.0000  6 Se 2.57-2.77
In 0.1861 0.8139 0.5000  6 Se 3.12-3.19
In 0.8139 0.1861 0.5000  6 Se 3.12-3.19
Se 0.0458 0.3922 0.1873  2 Nb 2.62-2.77, 1 Mn 2.63
Se 0.2575 0.2575 0.7768  2 Nb 2.57, 1 Mn 2.69
Se 0.3922 0.0458 0.1873  2 Nb 2.62-2.77, 1 Mn 2.63
Se 0.6078 0.9542 0.8127  2 Nb 2.62-2.77, 1 Mn 2.63
Se 0.7425 0.7425 0.2232  2 Nb 2.57, 1 Mn 2.69
Se 0.9542 0.6078 0.8127  2 Nb 2.62-2.77, 1 Mn 2.63

Values from the calculation:
As for the magnetization: 4.023 μB per formula unit. For the uncorrected formation energy, the calculation gives -0.542 eV per atom. As for the space group: C2/m.

[2]
Computed, not measured: an optimized crystal structure of NdMnIn at the PBE-GGA level of DFT.

a b c (Å): 4.8147 4.8147 3.7466
angles (deg): 90.00 90.00 120.00
Closest atoms and distances in Å follow each position.
Fractional positions:
Nd 0.0000 0.0000 0.0000  6 Mn 3.35, 6 In 3.35, 2 Nd 3.75
Mn 0.3333 0.6667 0.5000  3 In 2.78
In 0.6667 0.3333 0.5000  3 Mn 2.78

Values from the calculation:
As for the magnetization: 3.444 μB per formula unit. The energy relative to the elements is -0.0767 eV per atom. As for the space group: P-6m2.

[3]
Computed, not measured: an optimized crystal structure of Nd2MnIn at the PBE-GGA level of DFT.

a b c (Å): 3.7152 3.7152 7.8685
angles (deg): 90.00 90.00 90.00
Closest atoms and distances in Å follow each position.
Fractional positions:
Nd 0.0000 0.0000 0.2316  4 Mn 3.20, 4 In 3.37
Nd 0.0000 0.0000 0.7684  4 Mn 3.20, 4 In 3.37
Mn 0.5000 0.5000 0.0000  8 Nd 3.20
In 0.5000 0.5000 0.5000  8 Nd 3.37, 4 In 3.72

Values from the calculation:
The calculation puts the distance to the lowest polymorph of the same formula at 0.00 eV/f.u. As for the magnetization: 3.110 μB per formula unit. The energy relative to the elements is -0.0834 eV per atom. As for the space group: P4/mmm.